No. 1
A relaxed DyInAu2 crystal, computed with GGA-PBE.

a b c (Å): 3.571 3.571 6.983
angles (deg): 90.00 90.00 90.00
Fractional positions:
Dy 0.000 0.000 0.000
In 0.000 0.000 0.500
Au 0.500 0.500 0.245
Au 0.500 0.500 0.755

Results
space group	No. 123
final energy	-4.06	eV/atom
theoretical density	12.519	g cm⁻³
formation energy	-591	meV per atom

***

No. 2
A relaxed Dy2In8Au crystal, computed with GGA-PBE.

a b c (Å): 4.742 4.742 12.216
angles (deg): 90.00 90.00 90.00
Fractional positions:
Dy 0.000 0.000 0.188
Dy 0.000 0.000 0.812
In 0.000 0.500 0.000
In 0.000 0.500 0.367
In 0.000 0.500 0.633
In 0.500 0.000 0.000
In 0.500 0.000 0.367
In 0.500 0.000 0.633
In 0.500 0.500 0.188
In 0.500 0.500 0.812
Au 0.000 0.000 0.500

Results
space group	No. 123
final energy	-3.45	eV/atom
theoretical density	8.707	g cm⁻³
formation energy	-324	meV per atom

***

Please write out number 1 again, unchanged.
A relaxed DyInAu2 crystal, computed with GGA-PBE.

a b c (Å): 3.571 3.571 6.983
angles (deg): 90.00 90.00 90.00
Fractional positions:
Dy 0.000 0.000 0.000
In 0.000 0.000 0.500
Au 0.500 0.500 0.245
Au 0.500 0.500 0.755

Results
space group	No. 123
final energy	-4.06	eV/atom
theoretical density	12.519	g cm⁻³
formation energy	-591	meV per atom

***

> Which value of final energy does entry 1 give?

-4.06 eV/atom

***

> final energy of number 2 (Dy2In8Au)?

-3.45 eV/atom